The following is a PBE calculation of a relaxed structure of Te2OsPdN, from the Alexandria database.

Its total magnetization is 0.00 μB/f.u. For the total DFT energy (no corrections), the calculation gives -5.7943 eV/atom. The energy relative to the lowest polymorph listed for this composition is 0 meV per atom. The value obtained for the energy relative to the elements, uncorrected is 0.4119 eV per atom. The value obtained for the volume is 105.9 Å³ per cell.

Lattice parameters (Å, degrees): 5.3989 5.3989 3.6332 90.00 90.00 90.00
Space group P4/mmm (No. 123)
One atom of each set of equivalent atoms:
Te: 0.0000 0.5000 0.0000 [2 per cell]
Os: 0.0000 0.0000 0.0000 [1 per cell]
Pd: 0.5000 0.5000 0.5000 [1 per cell]
N: 0.0000 0.0000 0.5000 [1 per cell]


The following is a PBE calculation of a relaxed structure of CrIn3H, from the Alexandria database.

Its total magnetization is 3.92 μB/f.u. For the total DFT energy (no corrections), the calculation gives -3.4488 eV/atom. The energy relative to the lowest polymorph listed for this composition is 326 meV per atom. The value obtained for the volume is 143.0 Å³ per cell.

Lattice parameters (Å, degrees): 5.2293 5.2293 5.2293 90.00 90.00 90.00
Space group Pm-3m (No. 221)
One atom of each set of equivalent atoms:
Cr: 0.0000 0.0000 0.0000 [1 per cell]
In: 0.0000 0.0000 0.5000 [3 per cell]
H: 0.5000 0.5000 0.5000 [1 per cell]


The following is a PBE calculation of a relaxed structure of YZnIrRu, from the Alexandria database.

Its total magnetization is 0.26 μB/f.u. The formation energy comes out at -0.2256 eV/atom. For the total DFT energy (no corrections), the calculation gives -6.6943 eV/atom. The energy relative to the lowest polymorph listed for this composition is 89 meV per atom. The value obtained for the volume is 67.6 Å³ per cell.

Lattice parameters (Å, degrees): 3.8619 4.1655 4.2044 90.00 90.00 90.00
Space group Pmmm (No. 47)
One atom of each set of equivalent atoms:
Y: 0.0000 0.0000 0.0000 [1 per cell]
Zn: 0.0000 0.5000 0.5000 [1 per cell]
Ir: 0.5000 0.5000 0.0000 [1 per cell]
Ru: 0.5000 0.0000 0.5000 [1 per cell]


The following is a PBE calculation of a relaxed structure of La3Sb2P, from the Alexandria database.

Its total magnetization is 0.00 μB/f.u. For the total DFT energy (no corrections), the calculation gives -6.0875 eV/atom. The value obtained for the energy relative to the elements, uncorrected is -1.3480 eV per atom. The value obtained for the volume is 3111.7 Å³ per cell.

Lattice parameters (Å, degrees): 9.0387 12.7674 26.9643 90.00 90.00 90.00
Space group Fddd (No. 70, origin choice 2)
One atom of each set of equivalent atoms:
La: 0.1068 0.3750 0.3750 [16 per cell]
La: 0.1171 0.3674 0.2118 [32 per cell]
Sb: 0.1250 0.1250 0.3767 [16 per cell]
Sb: 0.1250 0.1250 0.5439 [16 per cell]
P: 0.1250 0.1250 0.0415 [16 per cell]